1.
This record from Alexandria via LeMat-Bulk describes EuBi2Se4 after structural relaxation. The functional is PBE-GGA.

Results
- Formation energy (no corrections): -0.836 eV/atom
- Volume: 831.8 Å³ per cell
- Total energy: -5.404 eV per atom

Unit cell a=12.9519 b=4.2054 c=15.2707 alpha=90.00 beta=90.00 gamma=90.00
Last column: nearest neighbours and their distance in Å.
Positions (direct):
Eu 0.2390 0.2500 0.1688  7 Se 3.16-3.26
Eu 0.2610 0.7500 0.6688  7 Se 3.16-3.26
Eu 0.7390 0.2500 0.3312  7 Se 3.16-3.26
Eu 0.7610 0.7500 0.8312  7 Se 3.16-3.26
Bi 0.0563 0.2500 0.3870  6 Se 2.94-2.99
Bi 0.0886 0.2500 0.9049  6 Se 2.86-3.07
Bi 0.4114 0.7500 0.4049  6 Se 2.86-3.07
Bi 0.4437 0.7500 0.8870  6 Se 2.94-2.99
Bi 0.5563 0.2500 0.1130  6 Se 2.94-2.99
Bi 0.5886 0.2500 0.5951  6 Se 2.86-3.07
Bi 0.9114 0.7500 0.0951  6 Se 2.86-3.07
Bi 0.9437 0.7500 0.6130  6 Se 2.94-2.99
Se 0.0520 0.7500 0.7819  3 Bi 2.86-2.94
Se 0.1023 0.2500 0.5764  3 Bi 2.95-2.99, 2 Eu 3.26
Se 0.1257 0.7500 0.0482  3 Bi 2.87-3.07, 2 Eu 3.16
Se 0.1973 0.7500 0.3191  3 Bi 2.97-3.07, 2 Eu 3.16
Se 0.3027 0.2500 0.8191  3 Bi 2.97-3.07, 2 Eu 3.16
Se 0.3743 0.2500 0.5482  3 Bi 2.87-3.07, 2 Eu 3.16
Se 0.3977 0.7500 0.0764  3 Bi 2.95-2.99, 2 Eu 3.26
Se 0.4480 0.2500 0.2819  3 Bi 2.86-2.94
Se 0.5520 0.7500 0.7181  3 Bi 2.86-2.94
Se 0.6023 0.2500 0.9236  3 Bi 2.95-2.99, 2 Eu 3.26
Se 0.6257 0.7500 0.4518  3 Bi 2.87-3.07, 2 Eu 3.16
Se 0.6973 0.7500 0.1809  3 Bi 2.97-3.07, 2 Eu 3.16
Se 0.8027 0.2500 0.6809  3 Bi 2.97-3.07, 2 Eu 3.16
Se 0.8743 0.2500 0.9518  3 Bi 2.87-3.07, 2 Eu 3.16
Se 0.8977 0.7500 0.4236  3 Bi 2.95-2.99, 2 Eu 3.26
Se 0.9480 0.2500 0.2181  3 Bi 2.86-2.94

2.
This record from Alexandria via LeMat-Bulk describes Eu2SiBi after structural relaxation. The functional is PBE-GGA.

Results
- Formation energy (no corrections): -0.125 eV/atom
- Volume: 130.2 Å³ per cell
- Total energy: -7.588 eV per atom

Unit cell a=10.9887 b=10.9887 c=10.9887 alpha=19.57 beta=19.57 gamma=19.57
Last column: nearest neighbours and their distance in Å.
Positions (direct):
Eu 0.1021 0.1021 0.1021  3 Si 3.00, 1 Bi 3.30
Eu 0.8979 0.8979 0.8979  3 Si 3.00, 1 Bi 3.30
Si 0.5000 0.5000 0.5000  6 Eu 3.00
Bi 0.0000 0.0000 0.0000  2 Eu 3.30

3.
This record from Alexandria via LeMat-Bulk describes SmEuBi2 after structural relaxation. The functional is PBE-GGA.

Results
- E_form: -2.8 eV per formula unit
- Energy above the lowest structure with this stoichiometry: 126.1 meV/atom
- Volume: 127.9 Å³ per cell
- Total energy: -6.385 eV per atom

Unit cell a=5.6547 b=5.6547 c=5.6547 alpha=60.00 beta=60.00 gamma=60.00
Last column: nearest neighbours and their distance in Å.
Positions (direct):
Sm 0.0000 0.0000 0.0000  8 Bi 3.46
Eu 0.5000 0.5000 0.5000  8 Bi 3.46
Bi 0.2500 0.2500 0.2500  4 Sm 3.46, 4 Eu 3.46
Bi 0.7500 0.7500 0.7500  4 Sm 3.46, 4 Eu 3.46

4.
This record from Alexandria via LeMat-Bulk describes SmEuBi2 after structural relaxation. The functional is PBE-GGA.

Results
- E_form: -3.3 eV per formula unit
- Energy above the lowest structure with this stoichiometry: 0.0 meV/atom
- Volume: 139.7 Å³ per cell
- Total energy: -6.511 eV per atom

Unit cell a=8.1467 b=8.1467 c=8.1467 alpha=32.62 beta=32.62 gamma=32.62
Last column: nearest neighbours and their distance in Å.
Positions (direct):
Sm 0.0000 0.0000 0.0000  6 Bi 3.23
Eu 0.5000 0.5000 0.5000  6 Bi 3.31
Bi 0.2527 0.2527 0.2527  3 Sm 3.23, 3 Eu 3.31
Bi 0.7473 0.7473 0.7473  3 Sm 3.23, 3 Eu 3.31

5.
This record from Alexandria via LeMat-Bulk describes SmEuBi2 after structural relaxation. The functional is PBE-GGA.

Results
- E_form: -3.0 eV per formula unit
- Energy above the lowest structure with this stoichiometry: 84.5 meV/atom
- Volume: 125.6 Å³ per cell
- Total energy: -6.427 eV per atom

Unit cell a=5.9853 b=5.9853 c=3.5066 alpha=90.00 beta=90.00 gamma=90.00
Last column: nearest neighbours and their distance in Å.
Positions (direct):
Sm 0.0000 0.0000 0.0000  8 Bi 3.47, 2 Sm 3.51
Eu 0.5000 0.5000 0.0000  8 Bi 3.47, 2 Eu 3.51
Bi 0.0000 0.5000 0.5000  4 Sm 3.47, 4 Eu 3.47, 2 Bi 3.51
Bi 0.5000 0.0000 0.5000  4 Sm 3.47, 4 Eu 3.47, 2 Bi 3.51

6.
This record from Alexandria via LeMat-Bulk describes SmEuBi2 after structural relaxation. The functional is PBE-GGA.

Results
- E_form: -3.0 eV per formula unit
- Energy above the lowest structure with this stoichiometry: 83.1 meV/atom
- Volume: 126.8 Å³ per cell
- Total energy: -6.428 eV per atom

Unit cell a=4.2083 b=4.2083 c=7.1580 alpha=90.00 beta=90.00 gamma=90.00
Last column: nearest neighbours and their distance in Å.
Positions (direct):
Sm 0.0000 0.0000 0.0000  8 Bi 3.43, 2 Eu 3.58
Eu 0.0000 0.0000 0.5000  8 Bi 3.51, 2 Sm 3.58
Bi 0.5000 0.5000 0.2392  2 Bi 3.42-3.73, 4 Sm 3.43, 4 Eu 3.51
Bi 0.5000 0.5000 0.7608  2 Bi 3.42-3.73, 4 Sm 3.43, 4 Eu 3.51

7.
This record from Alexandria via LeMat-Bulk describes SmEuSnBi after structural relaxation. The functional is PBE-GGA.

Results
- E_form: -2.4 eV per formula unit
- Volume: 123.0 Å³ per cell
- Total energy: -6.318 eV per atom

Unit cell a=5.5829 b=5.5829 c=5.5829 alpha=60.00 beta=60.00 gamma=60.00
Last column: nearest neighbours and their distance in Å.
Positions (direct):
Sm 0.0000 0.0000 0.0000  4 Sn 3.42, 4 Bi 3.42
Eu 0.5000 0.5000 0.5000  4 Sn 3.42, 4 Bi 3.42
Sn 0.2500 0.2500 0.2500  4 Sm 3.42, 4 Eu 3.42
Bi 0.7500 0.7500 0.7500  4 Eu 3.42, 4 Sm 3.42

8.
This record from Alexandria via LeMat-Bulk describes SmEuTlBi after structural relaxation. The functional is PBE-GGA.

Results
- E_form: -2.0 eV per formula unit
- Volume: 123.9 Å³ per cell
- Total energy: -5.806 eV per atom

Unit cell a=5.5959 b=5.5959 c=5.5959 alpha=60.00 beta=60.00 gamma=60.00
Last column: nearest neighbours and their distance in Å.
Positions (direct):
Sm 0.0000 0.0000 0.0000  4 Tl 3.43, 4 Bi 3.43
Eu 0.5000 0.5000 0.5000  4 Tl 3.43, 4 Bi 3.43
Tl 0.7500 0.7500 0.7500  4 Sm 3.43, 4 Eu 3.43
Bi 0.2500 0.2500 0.2500  4 Sm 3.43, 4 Eu 3.43

9.
This record from Alexandria via LeMat-Bulk describes SmEuZnBi after structural relaxation. The functional is PBE-GGA.

Results
- E_form: -1.8 eV per formula unit
- Volume: 114.5 Å³ per cell
- Total energy: -5.493 eV per atom

Unit cell a=5.4503 b=5.4503 c=5.4503 alpha=60.00 beta=60.00 gamma=60.00
Last column: nearest neighbours and their distance in Å.
Positions (direct):
Sm 0.0000 0.0000 0.0000  4 Bi 3.34, 4 Zn 3.34
Eu 0.5000 0.5000 0.5000  4 Bi 3.34, 4 Zn 3.34
Zn 0.2500 0.2500 0.2500  4 Sm 3.34, 4 Eu 3.34
Bi 0.7500 0.7500 0.7500  4 Eu 3.34, 4 Sm 3.34

10.
This record from Alexandria via LeMat-Bulk describes EuSnBi after structural relaxation. The functional is PBE-GGA.

Results
- E_form: -1.2 eV per formula unit
- Energy above the lowest structure with this stoichiometry: 41.7 meV/atom
- Volume: 98.9 Å³ per cell
- Total energy: -6.449 eV per atom

Unit cell a=5.7352 b=5.7352 c=5.7352 alpha=133.05 beta=133.05 gamma=68.58
Last column: nearest neighbours and their distance in Å.
Positions (direct):
Eu 0.0000 0.0000 0.0000  5 Sn 3.26-3.55, 5 Bi 3.33-3.53
Sn 0.6559 0.6559 0.0000  1 Bi 2.89
Bi 0.3511 0.3511 0.0000  1 Sn 2.89

11.
This record from Alexandria via LeMat-Bulk describes EuSnBi2 after structural relaxation. The functional is PBE-GGA.

Results
- E_form: -1.2 eV per formula unit
- Energy above the lowest structure with this stoichiometry: 161.2 meV/atom
- Volume: 127.3 Å³ per cell
- Total energy: -5.798 eV per atom

Unit cell a=5.6471 b=5.6471 c=5.6471 alpha=60.00 beta=60.00 gamma=60.00
Last column: nearest neighbours and their distance in Å.
Positions (direct):
Eu 0.0000 0.0000 0.0000  8 Bi 3.46
Sn 0.5000 0.5000 0.5000  8 Bi 3.46
Bi 0.2500 0.2500 0.2500  4 Sn 3.46, 4 Eu 3.46
Bi 0.7500 0.7500 0.7500  4 Sn 3.46, 4 Eu 3.46

12.
This record from Alexandria via LeMat-Bulk describes EuSnBi2 after structural relaxation. The functional is PBE-GGA.

Results
- E_form: 0.4 eV per formula unit
- Energy above the lowest structure with this stoichiometry: 550.6 meV/atom
- Volume: 133.5 Å³ per cell
- Total energy: -5.409 eV per atom

Unit cell a=12.6998 b=12.6998 c=12.6998 alpha=15.87 beta=15.87 gamma=15.87
Last column: nearest neighbours and their distance in Å.
Positions (direct):
Eu 0.0000 0.0000 0.0000  2 Bi 3.32, 6 Eu 3.51
Sn 0.5000 0.5000 0.5000  6 Sn 3.51, 6 Bi 3.57
Bi 0.0883 0.0883 0.0883  1 Eu 3.32, 6 Bi 3.51, 3 Sn 3.57
Bi 0.9117 0.9117 0.9117  1 Eu 3.32, 6 Bi 3.51, 3 Sn 3.57

- What is the total energy in the twelfth record?
  -5.409 eV per atom

Copy entry 2 word for word.
This record from Alexandria via LeMat-Bulk describes Eu2SiBi after structural relaxation. The functional is PBE-GGA.

Results
- Formation energy (no corrections): -0.125 eV/atom
- Volume: 130.2 Å³ per cell
- Total energy: -7.588 eV per atom

Unit cell a=10.9887 b=10.9887 c=10.9887 alpha=19.57 beta=19.57 gamma=19.57
Last column: nearest neighbours and their distance in Å.
Positions (direct):
Eu 0.1021 0.1021 0.1021  3 Si 3.00, 1 Bi 3.30
Eu 0.8979 0.8979 0.8979  3 Si 3.00, 1 Bi 3.30
Si 0.5000 0.5000 0.5000  6 Eu 3.00
Bi 0.0000 0.0000 0.0000  2 Eu 3.30

Please write out number 2 again, unchanged.
This record from Alexandria via LeMat-Bulk describes Eu2SiBi after structural relaxation. The functional is PBE-GGA.

Results
- Formation energy (no corrections): -0.125 eV/atom
- Volume: 130.2 Å³ per cell
- Total energy: -7.588 eV per atom

Unit cell a=10.9887 b=10.9887 c=10.9887 alpha=19.57 beta=19.57 gamma=19.57
Last column: nearest neighbours and their distance in Å.
Positions (direct):
Eu 0.1021 0.1021 0.1021  3 Si 3.00, 1 Bi 3.30
Eu 0.8979 0.8979 0.8979  3 Si 3.00, 1 Bi 3.30
Si 0.5000 0.5000 0.5000  6 Eu 3.00
Bi 0.0000 0.0000 0.0000  2 Eu 3.30